[1]
Tl2InSnAu2 | PBE-GGA | optimized geometry

Unit cell a=4.4569 b=7.7894 c=8.9314 alpha=90.00 beta=90.00 gamma=90.00
Closest atoms and distances in Å follow each position.
Atoms (fractional coordinates):
Au: 0.0000 0.2773 0.8333  2 Sn 2.79, 1 In 2.91, 3 Tl 3.05-3.09
Au: 0.5000 0.2845 0.4185  2 Sn 2.77-2.87, 2 In 3.08
Au: 0.5000 0.7845 0.5815  2 Sn 2.77-2.87, 2 In 3.08
Au: 0.0000 0.7773 0.1667  2 Sn 2.79, 1 In 2.91, 3 Tl 3.05-3.09
Sn: 0.5000 0.6281 0.3026  4 Au 2.77-2.87
Sn: 0.5000 0.1281 0.6974  4 Au 2.77-2.87
Tl: 0.5000 0.5277 0.9170  2 Au 3.05, 2 Tl 3.36
Tl: 0.0000 0.8320 0.8243  3 Au 3.09-3.13, 2 Tl 3.36, 2 Sn 3.40
Tl: 0.0000 0.3320 0.1757  3 Au 3.09-3.13, 2 Tl 3.36, 2 Sn 3.40
Tl: 0.5000 0.0277 0.0830  2 Au 3.05, 2 Tl 3.36
In: 0.0000 0.4960 0.5693  5 Au 2.91-3.17
In: 0.0000 0.9960 0.4307  5 Au 2.91-3.17

Summary:
DOS at the Fermi energy   6.24 states/eV per cell
Space-group type   No. 26
VASP energy   -3.092 eV per atom
Crystal system   orthorhombic


[2]
TlInSnAu2 | PBE-GGA | optimized geometry

Unit cell a=4.4531 b=8.3977 c=7.5652 alpha=89.57 beta=72.88 gamma=74.62
Closest atoms and distances in Å follow each position.
Atoms (fractional coordinates):
Tl: 0.1454 0.3219 0.3873  4 Au 3.08-3.10, 1 Tl 3.20
Tl: 0.8546 0.6781 0.6127  4 Au 3.08-3.10, 1 Tl 3.20
Sn: 0.3846 0.3607 0.8700  4 Au 2.77-2.83
Sn: 0.6154 0.6393 0.1300  4 Au 2.77-2.83
Au: 0.3485 0.8748 0.4283  1 Sn 2.77, 3 In 2.84-2.85, 2 Tl 3.10
Au: 0.8095 0.2894 0.0915  3 Sn 2.83, 2 In 2.84-2.87, 2 Tl 3.08
Au: 0.6515 0.1252 0.5717  1 Sn 2.77, 3 In 2.84-2.85, 2 Tl 3.10
Au: 0.1905 0.7106 0.9085  3 Sn 2.83, 2 In 2.84-2.87, 2 Tl 3.08
In: 0.0861 0.0374 0.7904  5 Au 2.84-2.87, 1 In 3.14
In: 0.9139 0.9626 0.2096  5 Au 2.84-2.87, 1 In 3.14

Summary:
DOS at the Fermi energy   3.52 states/eV per cell
Space-group type   No. 12
VASP energy   -3.249 eV per atom
Crystal system   monoclinic